No. 1
## Pm3Dy2Pb6 (PBE)

Data for a geometry-optimized Pm3Dy2Pb6 structure.

Cell and atoms, written as extended XYZ:
```
11
Lattice="5.906 0.000 0.000 0.000 5.906 0.000 -2.953 -2.953 11.229" Properties=species:S:1:pos:R:3 pbc="T T T"
Pm 0.000 0.000 0.000
Pm 2.953 2.953 7.814
Pm 0.000 0.000 3.416
Dy 0.000 0.000 9.554
Dy 2.953 2.953 1.676
Pb 0.000 2.953 1.731
Pb 2.953 0.000 1.731
Pb 2.953 0.000 9.499
Pb 0.000 2.953 9.499
Pb 2.953 2.953 4.665
Pb 0.000 0.000 6.565
```

- DFT formation energy (eV per atom) = -0.1178
- space group = I4/mmm, No. 139
- DOS(E_F) (states/eV per cell) = 7.2
- spin magnetization (μB per cell) = 0.00



No. 2
## CuF2 (PBE)

Data for a geometry-optimized CuF2 structure.

Cell and atoms, written as extended XYZ:
```
9
Lattice="-1.739 -4.120 -0.075 1.901 -0.716 -4.739 2.820 -1.266 4.127" Properties=species:S:1:pos:R:3 pbc="T T T"
Cu 0.000 0.000 0.000
Cu 1.643 -3.143 1.134
Cu 1.337 -2.959 -1.821
F 0.486 -1.481 1.347
F 0.181 -1.299 -1.589
F 2.708 -2.387 -0.429
F 0.272 -3.715 -0.259
F -0.020 -3.537 -3.225
F 0.594 -3.905 2.704
```

- ΔE_f (raw) (meV per atom) = -1482
- space group = P-31m, No. 162
- DOS(E_F) (states/eV per cell) = 5.1
- spin magnetization (μB per cell) = 3.01



No. 3
## NaBPb (PBE)

Data for a geometry-optimized NaBPb structure.

Cell and atoms, written as extended XYZ:
```
6
Lattice="-1.653 5.449 3.811 0.306 -2.821 4.167 4.009 0.965 0.359" Properties=species:S:1:pos:R:3 pbc="T T T"
Pb 3.386 0.829 3.363
Pb -0.723 2.764 4.974
Na 1.197 1.750 1.097
Na 1.159 4.664 3.073
B 2.157 -0.928 2.263
B 1.331 1.796 4.168
```

- DFT formation energy (eV per atom) = 0.8673
- space group = Pmma, No. 51
- DOS(E_F) (states/eV per cell) = 2.4
- spin magnetization (μB per cell) = 0.00



No. 4
## LaIr3 (PBE)

Data for a geometry-optimized LaIr3 structure.

Cell and atoms, written as extended XYZ:
```
4
Lattice="4.707 0.000 0.000 2.354 4.077 0.000 2.354 1.359 3.843" Properties=species:S:1:pos:R:3 pbc="T T T"
Ir 0.000 0.000 0.000
Ir 4.707 2.718 1.922
Ir 7.061 4.077 2.883
La 2.354 1.359 0.961
```

- DFT formation energy (eV per atom) = 0.2761
- space group = Fm-3m, No. 225
- DOS(E_F) (states/eV per cell) = 8.3
- spin magnetization (μB per cell) = 1.43